Pr3Nd4Hg | PBE | optimized geometry

Calculated values
The calculation puts the calculated formation energy at -0.110 eV per atom. Its space group is P4/mmm.

a = 3.728 Å, b = 3.728 Å, c = 19.567 Å
α = 90.00°, β = 90.00°, γ = 90.00°
Atoms (fractional coordinates):
1 Pr 0.000 0.000 0.000
2 Pr 0.000 0.000 0.265
3 Pr 0.000 0.000 0.735
4 Nd 0.500 0.500 0.132
5 Nd 0.500 0.500 0.397
6 Nd 0.500 0.500 0.603
7 Nd 0.500 0.500 0.868
8 Hg 0.000 0.000 0.500

***

PrNd2Hg5 | PBE | optimized geometry

Calculated values
The calculation puts the calculated formation energy at -0.443 eV per atom. Its space group is I4/mmm.

a = 5.336 Å, b = 5.336 Å, c = 15.133 Å
α = 90.00°, β = 90.00°, γ = 90.00°
Atoms (fractional coordinates):
1 Pr 0.000 0.000 0.000
2 Pr 0.500 0.500 0.500
3 Nd 0.000 0.000 0.269
4 Nd 0.000 0.000 0.731
5 Nd 0.500 0.500 0.231
6 Nd 0.500 0.500 0.769
7 Hg 0.000 0.000 0.500
8 Hg 0.000 0.500 0.123
9 Hg 0.000 0.500 0.377
10 Hg 0.000 0.500 0.623
11 Hg 0.000 0.500 0.877
12 Hg 0.500 0.000 0.123
13 Hg 0.500 0.000 0.377
14 Hg 0.500 0.000 0.623
15 Hg 0.500 0.000 0.877
16 Hg 0.500 0.500 0.000

***

What did the first record say?
Pr3Nd4Hg | PBE | optimized geometry

Calculated values
The calculation puts the calculated formation energy at -0.110 eV per atom. Its space group is P4/mmm.

a = 3.728 Å, b = 3.728 Å, c = 19.567 Å
α = 90.00°, β = 90.00°, γ = 90.00°
Atoms (fractional coordinates):
1 Pr 0.000 0.000 0.000
2 Pr 0.000 0.000 0.265
3 Pr 0.000 0.000 0.735
4 Nd 0.500 0.500 0.132
5 Nd 0.500 0.500 0.397
6 Nd 0.500 0.500 0.603
7 Nd 0.500 0.500 0.868
8 Hg 0.000 0.000 0.500

***

Q: Among the records above, which one has the lowest calculated formation energy?
A: PrNd2Hg5

***

Q: Number 1 is which compound?
A: Pr3Nd4Hg